Entry 1:
This record from Alexandria describes MgTe2I after structural relaxation. The functional is GGA-PBE.

V   566.7 Å³ per cell
Offset from the most stable computed form   0.142 eV/atom
Total magnetic moment   0.00 Bohr magnetons per cell
DFT total energy   -39.6 eV per cell
SG   I-42d, No. 122
ΔE_f (raw)   -0.468 eV/f.u.

```
MgTe2I
1.0
4.931 0.000 0.000
0.000 4.931 0.000
0.000 0.000 23.309
Mg Te I
4 8 4
Direct
0.000 0.000 0.000
0.000 0.500 0.250
0.500 0.000 0.750
0.500 0.500 0.500
0.142 0.250 0.125
0.250 0.642 0.375
0.250 0.858 0.875
0.358 0.250 0.625
0.642 0.750 0.625
0.750 0.142 0.875
0.750 0.358 0.375
0.858 0.750 0.125
0.000 0.000 0.500
0.000 0.500 0.750
0.500 0.000 0.250
0.500 0.500 0.000
```

***

Entry 2:
This record from Alexandria describes Ba8RhBr2 after structural relaxation. The functional is GGA-PBE.

V   588.5 Å³ per cell
Total magnetic moment   1.02 Bohr magnetons per cell
DFT total energy   -32.7 eV per cell
SG   C2/m, No. 12
ΔE_f (raw)   -6.582 eV/f.u.

```
Ba8RhBr2
1.0
7.391 -5.484 0.000
7.391 5.484 0.000
-0.590 0.000 7.259
Ba Rh Br
8 1 2
Direct
0.101 0.705 0.752
0.164 0.164 0.775
0.295 0.899 0.248
0.378 0.378 0.294
0.622 0.622 0.706
0.705 0.101 0.752
0.836 0.836 0.225
0.899 0.295 0.248
0.000 0.000 0.000
0.398 0.398 0.823
0.602 0.602 0.177
```

***

Entry 3:
This record from Alexandria describes NbNiSeBr2 after structural relaxation. The functional is GGA-PBE.

V   135.0 Å³ per cell
Offset from the most stable computed form   0.000 eV/atom
Total magnetic moment   1.13 Bohr magnetons per cell
DFT total energy   -20.7 eV per cell
SG   P4/mmm, No. 123
ΔE_f (raw)   1.948 eV/f.u.

```
NbNiSeBr2
1.0
5.179 0.000 0.000
0.000 5.179 0.000
0.000 0.000 5.033
Nb Ni Se Br
1 1 1 2
Direct
0.000 0.000 0.000
0.500 0.500 0.500
0.000 0.000 0.500
0.000 0.500 0.000
0.500 0.000 0.000
```

***

Entry 4:
This record from Alexandria describes SrCaAu2 after structural relaxation. The functional is GGA-PBE.

V   105.3 Å³ per cell
Total magnetic moment   0.00 Bohr magnetons per cell
DFT total energy   -13.3 eV per cell
SG   P4/mmm, No. 123
Calculated formation energy   -0.755 eV per atom

```
SrCaAu2
1.0
3.759 0.000 0.000
0.000 3.759 0.000
0.000 0.000 7.450
Sr Ca Au
1 1 2
Direct
0.000 0.000 0.000
0.000 0.000 0.500
0.500 0.500 0.274
0.500 0.500 0.726
```

***

Entry 5:
This record from Alexandria describes ReNi2H after structural relaxation. The functional is GGA-PBE.

V   125.9 Å³ per cell
Offset from the most stable computed form   0.024 eV/atom
Total magnetic moment   0.00 Bohr magnetons per cell
DFT total energy   -78.0 eV per cell
SG   R-3m, No. 166

```
ReNi2H
1.0
2.626 0.000 0.000
-1.313 2.275 0.000
0.000 0.000 21.066
Re Ni H
3 6 3
Direct
0.000 0.000 0.000
0.333 0.667 0.667
0.667 0.333 0.333
0.000 0.000 0.116
0.000 0.000 0.884
0.333 0.667 0.551
0.333 0.667 0.782
0.667 0.333 0.218
0.667 0.333 0.449
0.000 0.000 0.500
0.333 0.667 0.167
0.667 0.333 0.833
```

***

Entry 6:
This record from Alexandria describes Fe2Ni2Pb after structural relaxation. The functional is GGA-PBE.

V   145.3 Å³ per cell
Offset from the most stable computed form   0.041 eV/atom
Total magnetic moment   13.19 Bohr magnetons per cell
DFT total energy   -61.0 eV per cell
SG   P4/mbm, No. 127
Calculated formation energy   0.341 eV per atom

```
Fe2Ni2Pb
1.0
7.201 0.000 0.000
0.000 7.201 0.000
0.000 0.000 2.802
Fe Ni Pb
4 4 2
Direct
0.117 0.383 0.000
0.383 0.883 0.000
0.617 0.117 0.000
0.883 0.617 0.000
0.168 0.668 0.500
0.332 0.168 0.500
0.668 0.832 0.500
0.832 0.332 0.500
0.000 0.000 0.000
0.500 0.500 0.000
```

***

Entry 7:
This record from Alexandria describes BeHgPd3 after structural relaxation. The functional is GGA-PBE.

V   126.9 Å³ per cell
Offset from the most stable computed form   1.458 eV/atom
Total magnetic moment   0.00 Bohr magnetons per cell
DFT total energy   -13.2 eV per cell
SG   Pm-3m, No. 221
Calculated formation energy   1.288 eV per atom

```
BeHgPd3
1.0
5.025 0.000 0.000
0.000 5.025 0.000
0.000 0.000 5.025
Be Hg Pd
1 1 3
Direct
0.000 0.000 0.000
0.500 0.500 0.500
0.000 0.500 0.500
0.500 0.000 0.500
0.500 0.500 0.000
```

***

Entry 8:
This record from Alexandria describes KTl5Sb2 after structural relaxation. The functional is GGA-PBE.

V   565.6 Å³ per cell
Total magnetic moment   0.00 Bohr magnetons per cell
DFT total energy   -43.7 eV per cell
SG   Immm, No. 71
ΔE_f (raw)   -0.687 eV/f.u.

```
KTl5Sb2
1.0
4.598 0.000 0.000
0.000 9.666 0.000
0.000 0.000 12.727
K Tl Sb
2 10 4
Direct
0.000 0.000 0.000
0.500 0.500 0.500
0.000 0.185 0.351
0.000 0.185 0.649
0.000 0.500 0.000
0.000 0.815 0.351
0.000 0.815 0.649
0.500 0.000 0.500
0.500 0.315 0.149
0.500 0.315 0.851
0.500 0.685 0.149
0.500 0.685 0.851
0.000 0.500 0.270
0.000 0.500 0.730
0.500 0.000 0.230
0.500 0.000 0.770
```

***

Entry 9:
This record from Alexandria describes Ba3MgU2O9 after structural relaxation. The functional is GGA-PBE.

V   240.7 Å³ per cell
Total magnetic moment   2.00 Bohr magnetons per cell
DFT total energy   -120.9 eV per cell
SG   P-3m1, No. 164
ΔE_f (raw)   -46.305 eV/f.u.

```
Ba3MgU2O9
1.0
6.083 0.000 0.000
-3.042 5.268 0.000
0.000 0.000 7.509
Ba Mg U O
3 1 2 9
Direct
0.000 0.000 0.000
0.333 0.667 0.652
0.667 0.333 0.348
0.000 0.000 0.500
0.333 0.667 0.177
0.667 0.333 0.823
0.000 0.500 0.000
0.167 0.335 0.334
0.167 0.833 0.334
0.335 0.167 0.666
0.500 0.000 0.000
0.500 0.500 0.000
0.665 0.833 0.334
0.833 0.167 0.666
0.833 0.665 0.666
```

***

Entry 10:
This record from Alexandria describes Ca2TbInO after structural relaxation. The functional is GGA-PBE.

V   114.1 Å³ per cell
Total magnetic moment   0.00 Bohr magnetons per cell
DFT total energy   -23.5 eV per cell
SG   P4/mmm, No. 123
ΔE_f (raw)   -7.142 eV/f.u.

```
Ca2TbInO
1.0
4.831 0.000 0.000
0.000 4.831 0.000
0.000 0.000 4.890
Ca Tb In O
2 1 1 1
Direct
0.000 0.500 0.000
0.500 0.000 0.000
0.000 0.000 0.500
0.500 0.500 0.500
0.000 0.000 0.000
```

***

Entry 11:
This record from Alexandria describes BeSbPd2 after structural relaxation. The functional is GGA-PBE.

V   308.9 Å³ per cell
Offset from the most stable computed form   0.248 eV/atom
Total magnetic moment   0.00 Bohr magnetons per cell
DFT total energy   -72.8 eV per cell
SG   I-42d, No. 122
ΔE_f (raw)   0.029 eV/f.u.

```
BeSbPd2
1.0
4.715 0.000 0.000
0.000 4.715 0.000
0.000 0.000 13.891
Be Sb Pd
4 4 8
Direct
0.000 0.000 0.000
0.000 0.500 0.250
0.500 0.000 0.750
0.500 0.500 0.500
0.000 0.000 0.500
0.000 0.500 0.750
0.500 0.000 0.250
0.500 0.500 0.000
0.161 0.250 0.125
0.250 0.661 0.375
0.250 0.839 0.875
0.339 0.250 0.625
0.661 0.750 0.625
0.750 0.161 0.875
0.750 0.339 0.375
0.839 0.750 0.125
```

***

Entry 12:
This record from Alexandria describes Ca7Ac3Ir4 after structural relaxation. The functional is GGA-PBE.

V   418.3 Å³ per cell
Total magnetic moment   0.00 Bohr magnetons per cell
DFT total energy   -66.6 eV per cell
SG   C2/m, No. 12
Calculated formation energy   -0.341 eV per atom

```
Ca7Ac3Ir4
1.0
9.570 -2.073 0.000
9.570 2.073 0.000
-6.843 0.000 10.539
Ca Ac Ir
7 3 4
Direct
0.000 0.000 0.000
0.160 0.160 0.887
0.320 0.320 0.496
0.494 0.494 0.761
0.506 0.506 0.239
0.680 0.680 0.504
0.840 0.840 0.113
0.000 0.000 0.500
0.293 0.293 0.783
0.707 0.707 0.217
0.130 0.130 0.293
0.369 0.369 0.301
0.631 0.631 0.699
0.870 0.870 0.707
```